Model A:
Entry from Alexandria: crystalline TcNi2As at its relaxed geometry (PBE-GGA).

Computed properties:
SG: P4/mmm, No. 123
Calculated volume, Å³/cell: 51.0

a = 3.629 Å, b = 3.629 Å, c = 3.871 Å
α = 90.00°, β = 90.00°, γ = 90.00°
Atoms (fractional coordinates):
Tc: 0.000 0.000 0.000
Ni: 0.000 0.500 0.500
Ni: 0.500 0.000 0.500
As: 0.500 0.500 0.000

Model B:
Entry from Alexandria: crystalline TcNi2As at its relaxed geometry (PBE-GGA).

Computed properties:
SG: R3m, No. 160
Calculated volume, Å³/cell: 159.9

a = 2.801 Å, b = 2.801 Å, c = 23.543 Å
α = 90.00°, β = 90.00°, γ = 120.00°
Atoms (fractional coordinates):
Tc: 0.000 0.000 0.000
Tc: 0.333 0.667 0.667
Tc: 0.667 0.333 0.333
Ni: 0.000 0.000 0.502
Ni: 0.000 0.000 0.752
Ni: 0.333 0.667 0.168
Ni: 0.333 0.667 0.418
Ni: 0.667 0.333 0.085
Ni: 0.667 0.333 0.835
As: 0.000 0.000 0.246
As: 0.333 0.667 0.913
As: 0.667 0.333 0.579

Model C:
Entry from Alexandria: crystalline TcNi2As at its relaxed geometry (PBE-GGA).

Computed properties:
SG: F-43m, No. 216
Calculated volume, Å³/cell: 204.1

a = 5.887 Å, b = 5.887 Å, c = 5.887 Å
α = 90.00°, β = 90.00°, γ = 90.00°
Atoms (fractional coordinates):
Tc: 0.000 0.000 0.000
Tc: 0.000 0.500 0.500
Tc: 0.500 0.000 0.500
Tc: 0.500 0.500 0.000
Ni: 0.000 0.000 0.500
Ni: 0.000 0.500 0.000
Ni: 0.250 0.250 0.750
Ni: 0.250 0.750 0.250
Ni: 0.500 0.000 0.000
Ni: 0.500 0.500 0.500
Ni: 0.750 0.250 0.250
Ni: 0.750 0.750 0.750
As: 0.250 0.250 0.250
As: 0.250 0.750 0.750
As: 0.750 0.250 0.750
As: 0.750 0.750 0.250

Model D:
Entry from Alexandria: crystalline TcNi2As at its relaxed geometry (PBE-GGA).

Computed properties:
SG: Cmmm, No. 65
Calculated volume, Å³/cell: 103.9

a = 5.005 Å, b = 7.639 Å, c = 2.718 Å
α = 90.00°, β = 90.00°, γ = 90.00°
Atoms (fractional coordinates):
Tc: 0.000 0.000 0.000
Tc: 0.500 0.500 0.000
Ni: 0.250 0.250 0.500
Ni: 0.250 0.750 0.500
Ni: 0.750 0.250 0.500
Ni: 0.750 0.750 0.500
As: 0.000 0.500 0.000
As: 0.500 0.000 0.000

Which structure is the least stable? The one labeled model B.

Model A:
Entry from Alexandria: crystalline TcNi2As at its relaxed geometry (PBE-GGA).

Computed properties:
SG: Immm, No. 71
Calculated volume, Å³/cell: 102.4

a = 2.874 Å, b = 4.190 Å, c = 8.505 Å
α = 90.00°, β = 90.00°, γ = 90.00°
Atoms (fractional coordinates):
Tc: 0.000 0.000 0.000
Tc: 0.500 0.500 0.500
Ni: 0.000 0.500 0.229
Ni: 0.000 0.500 0.771
Ni: 0.500 0.000 0.271
Ni: 0.500 0.000 0.729
As: 0.000 0.000 0.500
As: 0.500 0.500 0.000

Model B:
Entry from Alexandria: crystalline TcNi2As at its relaxed geometry (PBE-GGA).

Computed properties:
SG: Cm, No. 8
Calculated volume, Å³/cell: 103.2

a = 8.229 Å, b = 2.733 Å, c = 4.660 Å
α = 90.00°, β = 99.90°, γ = 90.00°
Atoms (fractional coordinates):
Tc: 0.000 0.000 0.000
Tc: 0.500 0.500 0.000
Ni: 0.248 0.500 0.263
Ni: 0.496 0.000 0.482
Ni: 0.748 0.000 0.263
Ni: 0.996 0.500 0.482
As: 0.245 0.000 0.720
As: 0.745 0.500 0.720

Model C:
Entry from Alexandria: crystalline TcNi2As at its relaxed geometry (PBE-GGA).

Computed properties:
SG: P2/m, No. 10
Calculated volume, Å³/cell: 52.1

a = 2.723 Å, b = 3.954 Å, c = 5.000 Å
α = 90.00°, β = 104.53°, γ = 90.00°
Atoms (fractional coordinates):
Tc: 0.000 0.000 0.000
Ni: 0.381 0.500 0.750
Ni: 0.619 0.500 0.250
As: 0.500 0.000 0.500

Which structure is the least stable? The one labeled model C.

Model A:
Entry from Alexandria: crystalline TcNiAs at its relaxed geometry (PBE-GGA).

Computed properties:
SG: Fmm2, No. 42
Calculated volume, Å³/cell: 171.9

a = 3.142 Å, b = 4.730 Å, c = 11.568 Å
α = 90.00°, β = 90.00°, γ = 90.00°
Atoms (fractional coordinates):
Tc: 0.000 0.000 0.000
Tc: 0.000 0.500 0.500
Tc: 0.500 0.000 0.500
Tc: 0.500 0.500 0.000
Ni: 0.000 0.000 0.679
Ni: 0.000 0.500 0.179
Ni: 0.500 0.000 0.179
Ni: 0.500 0.500 0.679
As: 0.000 0.000 0.334
As: 0.000 0.500 0.834
As: 0.500 0.000 0.834
As: 0.500 0.500 0.334

Model B:
Entry from Alexandria: crystalline TcNiAs at its relaxed geometry (PBE-GGA).

Computed properties:
SG: F-43m, No. 216
Calculated volume, Å³/cell: 192.7

a = 5.776 Å, b = 5.776 Å, c = 5.776 Å
α = 90.00°, β = 90.00°, γ = 90.00°
Atoms (fractional coordinates):
Tc: 0.000 0.000 0.000
Tc: 0.000 0.500 0.500
Tc: 0.500 0.000 0.500
Tc: 0.500 0.500 0.000
Ni: 0.250 0.250 0.750
Ni: 0.250 0.750 0.250
Ni: 0.750 0.250 0.250
Ni: 0.750 0.750 0.750
As: 0.250 0.250 0.250
As: 0.250 0.750 0.750
As: 0.750 0.250 0.750
As: 0.750 0.750 0.250

Which structure is the least stable? The one labeled model A.